# 1
Compound: Mn2AsN
Source: Alexandria via LeMat-Bulk
Functional: GGA-PBE
Structure: optimized geometry

Calculated values
Energy above the lowest structure with this stoichiometry, meV/atom: 805
E_form (uncorrected), eV per atom: 0.692
Magnetization, μB/f.u.: 0.00

Geometry as CIF:
```
data_Mn2AsN
_symmetry_space_group_name_H-M 'F m -3 m'
_symmetry_Int_Tables_number 225
_symmetry_space_group_name_Hall '-F 4 2 3'
_cell_length_a 5.538
_cell_length_b 5.538
_cell_length_c 5.538
_cell_angle_alpha 90.00
_cell_angle_beta 90.00
_cell_angle_gamma 90.00
loop_
_atom_site_label
_atom_site_type_symbol
_atom_site_fract_x
_atom_site_fract_y
_atom_site_fract_z
_atom_site_occupancy
Mn1 Mn 0.250 0.250 0.250 1
As1 As 0.000 0.000 0.000 1
N1 N 0.000 0.000 0.500 1
```


# 2
Compound: ZrInSi2
Source: Alexandria via LeMat-Bulk
Functional: GGA-PBE
Structure: optimized geometry

Calculated values
E_form (uncorrected), eV per atom: 0.013
Magnetization, μB/f.u.: 0.00

Geometry as CIF:
```
data_ZrInSi2
_symmetry_space_group_name_H-M 'C m m m'
_symmetry_Int_Tables_number 65
_symmetry_space_group_name_Hall '-C 2 2'
_cell_length_a 3.968
_cell_length_b 4.537
_cell_length_c 8.716
_cell_angle_alpha 90.00
_cell_angle_beta 90.00
_cell_angle_gamma 90.00
loop_
_atom_site_label
_atom_site_type_symbol
_atom_site_fract_x
_atom_site_fract_y
_atom_site_fract_z
_atom_site_occupancy
Zr1 Zr 0.000 0.000 0.000 1
In1 In 0.000 0.000 0.500 1
Si1 Si 0.000 0.500 0.226 1
```


# 3
Compound: CuRhSe2
Source: Alexandria via LeMat-Bulk
Functional: GGA-PBE
Structure: optimized geometry

Calculated values
E_form (uncorrected), eV per atom: -0.154
Magnetization, μB/f.u.: 0.00

Geometry as CIF:
```
data_CuRhSe2
_symmetry_space_group_name_H-M 'A m m 2'
_symmetry_Int_Tables_number 38
_symmetry_space_group_name_Hall 'A 2 -2'
_cell_length_a 4.635
_cell_length_b 4.714
_cell_length_c 6.860
_cell_angle_alpha 90.00
_cell_angle_beta 90.00
_cell_angle_gamma 90.00
loop_
_atom_site_label
_atom_site_type_symbol
_atom_site_fract_x
_atom_site_fract_y
_atom_site_fract_z
_atom_site_occupancy
Cu1 Cu 0.000 0.000 0.000 1
Rh1 Rh 0.500 0.000 0.218 1
Se1 Se 0.000 0.000 0.365 1
Se2 Se 0.500 0.000 0.856 1
```


# 4
Compound: K2AlPtBr
Source: Alexandria via LeMat-Bulk
Functional: GGA-PBE
Structure: optimized geometry

Calculated values
E_form (uncorrected), eV per atom: 0.456
Magnetization, μB/f.u.: 0.32

Geometry as CIF:
```
data_K2AlPtBr
_symmetry_space_group_name_H-M 'P 4/m m m'
_symmetry_Int_Tables_number 123
_symmetry_space_group_name_Hall '-P 4 2'
_cell_length_a 6.529
_cell_length_b 6.529
_cell_length_c 5.152
_cell_angle_alpha 90.00
_cell_angle_beta 90.00
_cell_angle_gamma 90.00
loop_
_atom_site_label
_atom_site_type_symbol
_atom_site_fract_x
_atom_site_fract_y
_atom_site_fract_z
_atom_site_occupancy
K1 K 0.000 0.500 0.000 1
Al1 Al 0.000 0.000 0.000 1
Pt1 Pt 0.500 0.500 0.500 1
Br1 Br 0.000 0.000 0.500 1
```


# 5
Compound: Zr2BMoOs
Source: Alexandria via LeMat-Bulk
Functional: GGA-PBE
Structure: optimized geometry

Calculated values
Energy of formation, eV/atom: -0.0709
Magnetization, μB/f.u.: 0.00

Geometry as CIF:
```
data_Zr2BMoOs
_symmetry_space_group_name_H-M 'P 4/m m m'
_symmetry_Int_Tables_number 123
_symmetry_space_group_name_Hall '-P 4 2'
_cell_length_a 4.694
_cell_length_b 4.694
_cell_length_c 3.897
_cell_angle_alpha 90.00
_cell_angle_beta 90.00
_cell_angle_gamma 90.00
loop_
_atom_site_label
_atom_site_type_symbol
_atom_site_fract_x
_atom_site_fract_y
_atom_site_fract_z
_atom_site_occupancy
Zr1 Zr 0.000 0.500 0.000 1
B1 B 0.000 0.000 0.000 1
Mo1 Mo 0.500 0.500 0.500 1
Os1 Os 0.000 0.000 0.500 1
```


# 6
Compound: CoAgCl2
Source: Alexandria via LeMat-Bulk
Functional: GGA-PBE
Structure: optimized geometry

Calculated values
Energy above the lowest structure with this stoichiometry, meV/atom: 176
E_form (uncorrected), eV per atom: 0.007
Magnetization, μB/f.u.: 2.04

Geometry as CIF:
```
data_CoAgCl2
_symmetry_space_group_name_H-M 'C m m 2'
_symmetry_Int_Tables_number 35
_symmetry_space_group_name_Hall 'C 2 -2'
_cell_length_a 3.971
_cell_length_b 5.562
_cell_length_c 7.585
_cell_angle_alpha 90.00
_cell_angle_beta 90.00
_cell_angle_gamma 90.00
loop_
_atom_site_label
_atom_site_type_symbol
_atom_site_fract_x
_atom_site_fract_y
_atom_site_fract_z
_atom_site_occupancy
Co1 Co 0.000 0.000 0.000 1
Ag1 Ag 0.000 0.500 0.245 1
Cl1 Cl 0.000 0.000 0.445 1
Cl2 Cl 0.000 0.500 0.863 1
```


# 7
Compound: Y3Be2Ga4
Source: Alexandria via LeMat-Bulk
Functional: GGA-PBE
Structure: optimized geometry

Calculated values
Energy of formation, eV/atom: -0.5230
Magnetization, μB/f.u.: 0.00

Geometry as CIF:
```
data_Y3Be2Ga4
_symmetry_space_group_name_H-M 'C 1 2/m 1'
_symmetry_Int_Tables_number 12
_symmetry_space_group_name_Hall '-C 2y'
_cell_length_a 10.471
_cell_length_b 4.199
_cell_length_c 8.187
_cell_angle_alpha 90.00
_cell_angle_beta 106.53
_cell_angle_gamma 90.00
loop_
_atom_site_label
_atom_site_type_symbol
_atom_site_fract_x
_atom_site_fract_y
_atom_site_fract_z
_atom_site_occupancy
Y1 Y 0.000 0.000 0.000 1
Y2 Y 0.160 0.500 0.665 1
Be1 Be 0.119 0.500 0.287 1
Ga1 Ga 0.065 0.000 0.385 1
Ga2 Ga 0.220 0.500 0.068 1
```


# 8
Compound: CuSbOsF
Source: Alexandria via LeMat-Bulk
Functional: GGA-PBE
Structure: optimized geometry

Calculated values
Energy above the lowest structure with this stoichiometry, meV/atom: 1
E_form (uncorrected), eV per atom: -0.208
Magnetization, μB/f.u.: 0.00

Geometry as CIF:
```
data_CuSbOsF
_symmetry_space_group_name_H-M 'P 3 m 1'
_symmetry_Int_Tables_number 156
_symmetry_space_group_name_Hall 'P 3 -2"'
_cell_length_a 3.0782
_cell_length_b 3.0782
_cell_length_c 8.0029
_cell_angle_alpha 90.00
_cell_angle_beta 90.00
_cell_angle_gamma 120.00
loop_
_atom_site_label
_atom_site_type_symbol
_atom_site_fract_x
_atom_site_fract_y
_atom_site_fract_z
_atom_site_occupancy
Cu1 Cu 0.0000 0.0000 0.0000 1
Sb1 Sb 0.0000 0.0000 0.4941 1
Os1 Os 0.3333 0.6667 0.2416 1
F1 F 0.6667 0.3333 0.8567 1
```